1.
# NaTeRh2

NaTeRh2 after structural relaxation (PBE-GGA, Alexandria via LeMat-Bulk).

a b c (Å): 7.4845 7.4845 6.0652
angles (deg): 51.90 51.90 90.00
Closest atoms and distances in Å follow each position.
Atoms (fractional coordinates):
Rh1 0.6764 0.1250 0.2500  2 Te 2.50
Rh2 0.8750 0.9264 0.7500  2 Te 2.50
Te1 0.7500 0.2500 0.5000  4 Rh 2.50
Te2 0.0000 0.0000 0.0000  4 Rh 2.50
Na1 0.5000 0.5000 0.0000  2 Te 2.96, 8 Rh 3.02-3.26
Na2 0.2500 0.7500 0.5000  2 Te 2.96, 8 Rh 3.02-3.26
Rh3 0.0736 0.6250 0.2500  2 Te 2.50
Rh4 0.3750 0.3236 0.7500  2 Te 2.50

Values from the calculation:
* space-group type: I-42d, No. 122
* energy relative to the elements, uncorrected: 0.80 eV/f.u.

2.
# NaTe8Rh5

NaTe8Rh5 after structural relaxation (PBE-GGA, Alexandria via LeMat-Bulk).

a b c (Å): 4.0396 8.8698 10.3399
angles (deg): 104.13 101.26 90.00
Closest atoms and distances in Å follow each position.
Atoms (fractional coordinates):
Te1 0.4329 0.8383 0.8657  4 Rh 2.67-2.75
Rh1 0.6560 0.9749 0.3119  6 Te 2.67-2.82, 1 Rh 2.90
Te2 0.7638 0.8524 0.5276  5 Rh 2.67-2.77
Te3 0.5673 0.1745 0.1345  4 Rh 2.68-2.82
Te4 0.8248 0.5114 0.6497  3 Rh 2.66-2.68
Na1 0.4985 0.4985 0.9971  6 Te 3.49-3.59
Rh2 0.7031 0.3120 0.4062  6 Te 2.66-2.72, 1 Rh 2.90
Rh3 0.3422 0.0227 0.6843  6 Te 2.66-2.77, 1 Rh 2.91
Rh4 0.0021 0.0018 0.0042  6 Te 2.65-2.68
Te5 0.2351 0.1457 0.4702  5 Rh 2.66-2.78
Te6 0.1767 0.4876 0.3535  3 Rh 2.64-2.68
Te7 0.0854 0.8140 0.1707  3 Rh 2.65-2.67
Te8 0.9140 0.1814 0.8281  3 Rh 2.67-2.68
Rh5 0.2982 0.6849 0.5964  6 Te 2.64-2.73, 1 Rh 2.91

Values from the calculation:
* space-group type: Cm, No. 8
* energy relative to the elements, uncorrected: -5.81 eV/f.u.

3.
# NaTh2Rh

NaTh2Rh after structural relaxation (PBE-GGA, Alexandria via LeMat-Bulk).

a b c (Å): 3.9123 3.9123 11.0454
angles (deg): 79.80 79.80 60.00
Closest atoms and distances in Å follow each position.
Atoms (fractional coordinates):
Rh1 0.5000 0.5000 0.5000  6 Th 2.82
Th1 0.8852 0.8852 0.3443  3 Rh 2.82
Th2 0.1148 0.1148 0.6557  3 Rh 2.82
Na1 0.0000 0.0000 0.0000  2 Th 3.72, 6 Na 3.91

Values from the calculation:
* space-group type: R-3m, No. 166
* E_form: -0.5 eV per formula unit

4.
# NaThRh2

NaThRh2 after structural relaxation (PBE-GGA, Alexandria via LeMat-Bulk).

a b c (Å): 3.5614 3.5614 6.6954
angles (deg): 90.00 90.00 90.00
Closest atoms and distances in Å follow each position.
Atoms (fractional coordinates):
Na1 0.5000 0.5000 0.5000  8 Rh 3.15, 2 Th 3.35
Rh1 0.0000 0.0000 0.2178  4 Th 2.91, 1 Rh 2.92, 4 Na 3.15
Th1 0.5000 0.5000 0.0000  8 Rh 2.91
Rh2 0.0000 0.0000 0.7822  4 Th 2.91, 1 Rh 2.92, 4 Na 3.15

Values from the calculation:
* space-group type: P4/mmm, No. 123
* E_form: -1.5 eV per formula unit

5.
# NaTi2Rh2

NaTi2Rh2 after structural relaxation (PBE-GGA, Alexandria via LeMat-Bulk).

a b c (Å): 7.6213 7.6213 2.9107
angles (deg): 90.00 90.00 90.00
Closest atoms and distances in Å follow each position.
Atoms (fractional coordinates):
Ti1 0.8530 0.3530 0.5000  6 Rh 2.64-2.70, 2 Ti 2.91
Rh1 0.6424 0.1424 0.0000  6 Ti 2.64-2.70, 2 Rh 2.91, 2 Na 2.93
Rh2 0.1424 0.3576 0.0000  6 Ti 2.64-2.70, 2 Rh 2.91, 2 Na 2.93
Ti2 0.6470 0.8530 0.5000  6 Rh 2.64-2.70, 2 Ti 2.91
Ti3 0.3530 0.1470 0.5000  6 Rh 2.64-2.70, 2 Ti 2.91
Na1 0.0000 0.0000 0.0000  2 Na 2.91, 4 Rh 2.93, 8 Ti 3.26
Rh3 0.8576 0.6424 0.0000  6 Ti 2.64-2.70, 2 Rh 2.91, 2 Na 2.93
Rh4 0.3576 0.8576 0.0000  6 Ti 2.64-2.70, 2 Rh 2.91, 2 Na 2.93
Na2 0.5000 0.5000 0.0000  2 Na 2.91, 4 Rh 2.93, 8 Ti 3.26
Ti4 0.1470 0.6470 0.5000  6 Rh 2.64-2.70, 2 Ti 2.91

Values from the calculation:
* space-group type: P4/mbm, No. 127
* E_form: -1.9 eV per formula unit
* E above lowest polymorph: 0 meV per atom

6.
# Na2TiRh

Na2TiRh after structural relaxation (PBE-GGA, Alexandria via LeMat-Bulk).

a b c (Å): 10.0592 10.0592 7.4624
angles (deg): 47.62 47.62 90.00
Closest atoms and distances in Å follow each position.
Atoms (fractional coordinates):
Ti1 0.2500 0.7500 0.5000  2 Rh 2.26
Rh1 0.7500 0.2500 0.5000  2 Ti 2.26
Na1 0.8750 0.9936 0.7500  2 Rh 2.90
Na2 0.0064 0.6250 0.2500  2 Rh 2.90
Na3 0.7436 0.1250 0.2500  2 Rh 2.90
Na4 0.3750 0.2564 0.7500  2 Rh 2.90
Ti2 0.5000 0.5000 0.0000  2 Rh 2.26
Rh2 0.0000 0.0000 0.0000  2 Ti 2.26

Values from the calculation:
* space-group type: I-42d, No. 122
* E_form: 2.5 eV per formula unit
* E above lowest polymorph: 0 meV per atom

7.
# NaTiRh2

NaTiRh2 after structural relaxation (PBE-GGA, Alexandria via LeMat-Bulk).

a b c (Å): 6.9921 6.9921 5.7109
angles (deg): 52.25 52.25 90.00
Closest atoms and distances in Å follow each position.
Atoms (fractional coordinates):
Rh1 0.0844 0.6250 0.2500  2 Ti 2.39
Ti1 0.7500 0.2500 0.5000  4 Rh 2.39
Rh2 0.8750 0.9156 0.7500  2 Ti 2.39
Na1 0.5000 0.5000 0.0000  4 Rh 2.77, 2 Ti 2.86
Rh3 0.6656 0.1250 0.2500  2 Ti 2.39
Rh4 0.3750 0.3344 0.7500  2 Ti 2.39
Ti2 0.0000 0.0000 0.0000  4 Rh 2.39
Na2 0.2500 0.7500 0.5000  4 Rh 2.77, 2 Ti 2.86

Values from the calculation:
* space-group type: I-42d, No. 122
* E_form: 0.3 eV per formula unit

8.
# NaTiRh2

NaTiRh2 after structural relaxation (PBE-GGA, Alexandria via LeMat-Bulk).

a b c (Å): 3.0342 3.0342 7.2747
angles (deg): 90.00 90.00 90.00
Closest atoms and distances in Å follow each position.
Atoms (fractional coordinates):
Ti1 0.5000 0.5000 0.0000  8 Rh 2.60
Na1 0.5000 0.5000 0.5000  4 Na 3.03, 8 Rh 3.05
Rh1 0.0000 0.0000 0.2026  4 Ti 2.60
Rh2 0.0000 0.0000 0.7974  4 Ti 2.60

Values from the calculation:
* space-group type: P4/mmm, No. 123
* E_form: -1.5 eV per formula unit

9.
# NaTi3Rh

NaTi3Rh after structural relaxation (PBE-GGA, Alexandria via LeMat-Bulk).

a b c (Å): 4.5471 4.5471 4.5471
angles (deg): 90.00 90.00 90.00
Closest atoms and distances in Å follow each position.
Atoms (fractional coordinates):
Ti1 0.0000 0.0000 0.5000  2 Na 2.27
Ti2 0.5000 0.0000 0.0000  2 Na 2.27
Rh1 0.5000 0.5000 0.5000  12 Ti 3.22
Na1 0.0000 0.0000 0.0000  6 Ti 2.27
Ti3 0.0000 0.5000 0.0000  2 Na 2.27

Values from the calculation:
* space-group type: Pm-3m, No. 221
* E_form: 8.3 eV per formula unit

10.
# Na2TiRh

Na2TiRh after structural relaxation (PBE-GGA, Alexandria via LeMat-Bulk).

a b c (Å): 4.7696 4.7696 4.7696
angles (deg): 60.00 60.00 60.00
Closest atoms and distances in Å follow each position.
Atoms (fractional coordinates):
Ti1 0.0000 0.0000 0.0000  8 Na 2.92
Na1 0.2500 0.2500 0.2500  4 Rh 2.92, 4 Ti 2.92
Na2 0.7500 0.7500 0.7500  4 Rh 2.92, 4 Ti 2.92
Rh1 0.5000 0.5000 0.5000  8 Na 2.92

Values from the calculation:
* space-group type: Fm-3m, No. 225
* E_form: 3.2 eV per formula unit
* E above lowest polymorph: 181 meV per atom

Number 1: Fermi-level density of states 0.80 states/eV/atom. Number 2: Fermi-level density of states 0.62 states/eV/atom. Number 3: Fermi-level density of states 1.17 states/eV/atom. Number 4: Fermi-level density of states 0.60 states/eV/atom. Number 5: Fermi-level density of states 0.73 states/eV/atom. Number 6: Fermi-level density of states 1.46 states/eV/atom. Number 7: Fermi-level density of states 0.67 states/eV/atom. Number 8: Fermi-level density of states 0.39 states/eV/atom. Number 9: Fermi-level density of states 2.87 states/eV/atom. Number 10: Fermi-level density of states 1.55 states/eV/atom.